Computed, not measured: an optimized crystal structure of CaLa4Pm3 at the PBE level of DFT.

a = 3.557 Å, b = 12.031 Å, c = 9.279 Å
α = 130.43°, β = 100.95°, γ = 90.07°
Atoms (fractional coordinates):
Ca: 0.500 0.000 0.000
Pm: 0.247 0.247 0.494
Pm: 0.000 0.500 0.000
Pm: 0.753 0.753 0.506
La: 0.365 0.614 0.729
La: 0.635 0.386 0.271
La: 0.636 0.884 0.271
La: 0.364 0.116 0.729

Computed properties:
Space group: C2/m
ΔH_f (0 K): 0.88 eV per formula unit

Computed, not measured: an optimized crystal structure of Zr2HgAs at the PBE level of DFT.

a = 5.867 Å, b = 5.867 Å, c = 5.867 Å
α = 144.72°, β = 133.33°, γ = 59.83°
Atoms (fractional coordinates):
As: 0.513 0.513 0.000
Zr: 0.725 0.225 0.500
Zr: 0.993 0.993 0.000
Hg: 0.268 0.768 0.500

Computed properties:
Space group: Imm2
ΔH_f (0 K): -1.40 eV per formula unit

Computed, not measured: an optimized crystal structure of HfP at the PBE level of DFT.

a = 8.002 Å, b = 8.002 Å, c = 8.002 Å
α = 90.00°, β = 90.00°, γ = 90.00°
Atoms (fractional coordinates):
Hf: 0.141 0.859 0.141
Hf: 0.859 0.141 0.141
Hf: 0.641 0.359 0.641
Hf: 0.359 0.641 0.641
Hf: 0.141 0.141 0.859
Hf: 0.641 0.641 0.359
Hf: 0.359 0.359 0.359
Hf: 0.859 0.859 0.859
P: 0.327 0.327 0.673
P: 0.673 0.673 0.673
P: 0.827 0.173 0.827
P: 0.827 0.827 0.173
P: 0.327 0.673 0.327
P: 0.173 0.173 0.173
P: 0.673 0.327 0.327
P: 0.173 0.827 0.827

Computed properties:
Space group: I-43m
ΔH_f (0 K): -0.86 eV per formula unit

> The lowest ΔH_f (0 K) belongs to which entry?

Zr2HgAs